DFT (PBE-GGA) results for a geometry-optimized BaPmCuTe3 structure.

Unit cell a=4.4816 b=9.5598 c=9.9417 alpha=104.58 beta=90.00 gamma=90.00
Element x y z (fractional)
1 Ba 0.2500 0.1876 0.2446
2 Ba 0.7500 0.8124 0.7554
3 Pm 0.2500 0.6746 0.1613
4 Pm 0.7500 0.3254 0.8387
5 Cu 0.2500 0.0791 0.5849
6 Cu 0.7500 0.9209 0.4151
7 Te 0.7500 0.8969 0.1371
8 Te 0.2500 0.1031 0.8629
9 Te 0.2500 0.7908 0.4815
10 Te 0.7500 0.2092 0.5185
11 Te 0.7500 0.4440 0.1712
12 Te 0.2500 0.5560 0.8288

calculated total energy	-0.1691	Ha/atom
uncorrected formation energy	-119.3	kJ/mol of atoms
volume	412.2	Å³/cell



DFT (PBE-GGA) results for a geometry-optimized NdTmTlBi structure.

Unit cell a=5.4938 b=5.4938 c=5.4938 alpha=60.00 beta=60.00 gamma=60.00
Element x y z (fractional)
1 Tl 0.0000 0.0000 0.0000
2 Tm 0.2500 0.2500 0.2500
3 Nd 0.7500 0.7500 0.7500
4 Bi 0.5000 0.5000 0.5000

calculated total energy	-0.1572	Ha/atom
volume	117.2	Å³/cell